1.
InP2: relaxed, PBE.

```
6
Lattice="5.815 -1.616 0.000 5.815 1.616 0.000 -5.547 0.000 7.346" Properties=species:S:1:pos:R:3 pbc="T T T"
In -0.924 0.000 1.248
In 7.006 0.000 6.098
P -1.818 0.000 5.585
P 1.975 0.000 3.244
P 4.107 0.000 4.103
P 7.901 0.000 1.761
```

The calculation puts the density of states at the Fermi level at 0.244 states/eV per atom. The value obtained for the total energy is -26.65 eV per cell. As for the total magnetic moment: 0.00 Bohr magnetons per cell.

=====

2.
InP2: relaxed, PBE.

```
3
Lattice="4.205 0.000 0.000 -2.102 3.641 0.000 0.000 0.000 3.936" Properties=species:S:1:pos:R:3 pbc="T T T"
In 0.000 0.000 0.000
P 0.000 2.428 1.968
P 2.102 1.214 1.968
```

The calculation puts the density of states at the Fermi level at 0.350 states/eV per atom. The value obtained for the total energy is -12.34 eV per cell. As for the total magnetic moment: 0.00 Bohr magnetons per cell.

=====

3.
In3P: relaxed, PBE.

```
4
Lattice="3.096 -3.818 0.000 3.096 3.818 0.000 0.000 0.000 4.091" Properties=species:S:1:pos:R:3 pbc="T T T"
In 0.000 0.000 0.000
In 1.548 1.909 2.046
In 1.548 -1.909 2.046
P 3.096 0.000 0.000
```

The calculation puts the density of states at the Fermi level at 0.398 states/eV per atom. The value obtained for the total energy is -12.74 eV per cell. As for the total magnetic moment: 0.00 Bohr magnetons per cell.